# GGA-PBE ZrVCoOs, relaxed
# - VASP energy (eV/atom) = -9.1955
# - energy of formation (eV per atom) = -0.195
# - mass density (Mg/m³) = 10.680
data_ZrVCoOs
_cell_length_a 6.2436
_cell_length_b 6.2436
_cell_length_c 6.2436
_cell_angle_alpha 90.00
_cell_angle_beta 90.00
_cell_angle_gamma 90.00
_symmetry_space_group_name_H-M 'F -4 3 m'
_symmetry_Int_Tables_number 216
_symmetry_space_group_name_Hall 'F -4 2 3'
loop_
_atom_site_label
_atom_site_type_symbol
_atom_site_fract_x
_atom_site_fract_y
_atom_site_fract_z
Zr1 Zr 0.0000 0.0000 0.0000
V1 V 0.0000 0.0000 0.5000
Co1 Co 0.2500 0.2500 0.7500
Os1 Os 0.2500 0.2500 0.2500

---

# GGA-PBE CoOsW2, relaxed
# - VASP energy (eV/atom) = -10.9791
# - excess energy over the best structure of this formula in the dataset (eV/f.u.) = 0.16
# - energy of formation (eV per atom) = 0.081
# - mass density (Mg/m³) = 17.921
data_CoOsW2
_cell_length_a 2.7524
_cell_length_b 2.7524
_cell_length_c 7.5444
_cell_angle_alpha 90.00
_cell_angle_beta 90.00
_cell_angle_gamma 90.00
_symmetry_space_group_name_H-M 'P 4/m m m'
_symmetry_Int_Tables_number 123
_symmetry_space_group_name_Hall '-P 4 2'
loop_
_atom_site_label
_atom_site_type_symbol
_atom_site_fract_x
_atom_site_fract_y
_atom_site_fract_z
Co1 Co 0.0000 0.0000 0.0000
Os1 Os 0.0000 0.0000 0.5000
W1 W 0.5000 0.5000 0.2397

---

# GGA-PBE CoOs2W, relaxed
# - VASP energy (eV/atom) = -10.3211
# - excess energy over the best structure of this formula in the dataset (eV/f.u.) = 1.22
# - energy of formation (eV per atom) = 0.309
# - mass density (Mg/m³) = 18.410
data_CoOs2W
_cell_length_a 3.1294
_cell_length_b 3.1294
_cell_length_c 5.7404
_cell_angle_alpha 90.00
_cell_angle_beta 90.00
_cell_angle_gamma 90.00
_symmetry_space_group_name_H-M 'P 4 m m'
_symmetry_Int_Tables_number 99
loop_
_symmetry_equiv_pos_as_xyz
'x,y,z'
'-y,x,z'
'-x,-y,z'
'y,-x,z'
'-x,y,z'
'y,x,z'
'x,-y,z'
'-y,-x,z'
loop_
_atom_site_label
_atom_site_type_symbol
_atom_site_fract_x
_atom_site_fract_y
_atom_site_fract_z
Co1 Co 0.0000 0.0000 0.0000
Os1 Os 0.0000 0.0000 0.5288
Os2 Os 0.5000 0.5000 0.2449
W1 W 0.5000 0.5000 0.8081

---

# GGA-PBE CoOsW4, relaxed
# - VASP energy (eV/atom) = -11.0588
# - energy of formation (eV per atom) = 0.633
# - mass density (Mg/m³) = 16.852
data_CoOsW4
_cell_length_a 7.2939
_cell_length_b 7.2939
_cell_length_c 7.2939
_cell_angle_alpha 90.00
_cell_angle_beta 90.00
_cell_angle_gamma 90.00
_symmetry_space_group_name_H-M 'F -4 3 m'
_symmetry_Int_Tables_number 216
_symmetry_space_group_name_Hall 'F -4 2 3'
loop_
_atom_site_label
_atom_site_type_symbol
_atom_site_fract_x
_atom_site_fract_y
_atom_site_fract_z
Co1 Co 0.0000 0.0000 0.0000
Os1 Os 0.2500 0.2500 0.7500
W1 W 0.1258 0.1258 0.3742

---

# GGA-PBE CoOs2W, relaxed
# - VASP energy (eV/atom) = -10.4112
# - excess energy over the best structure of this formula in the dataset (eV/f.u.) = 0.86
# - energy of formation (eV per atom) = 0.218
# - mass density (Mg/m³) = 18.431
data_CoOs2W
_cell_length_a 2.7236
_cell_length_b 2.7236
_cell_length_c 26.2209
_cell_angle_alpha 90.00
_cell_angle_beta 90.00
_cell_angle_gamma 120.00
_symmetry_space_group_name_H-M 'R 3 m'
_symmetry_Int_Tables_number 160
_symmetry_space_group_name_Hall 'R 3 -2"'
loop_
_atom_site_label
_atom_site_type_symbol
_atom_site_fract_x
_atom_site_fract_y
_atom_site_fract_z
Co1 Co 0.0000 0.0000 0.0000
Os1 Os 0.0000 0.0000 0.2546
Os2 Os 0.0000 0.0000 0.5032
W1 W 0.0000 0.0000 0.7483

---

# GGA-PBE CoOsW2, relaxed
# - VASP energy (eV/atom) = -10.1653
# - excess energy over the best structure of this formula in the dataset (eV/f.u.) = 3.42
# - energy of formation (eV per atom) = 0.895
# - mass density (Mg/m³) = 16.067
data_CoOsW2
_cell_length_a 3.8521
_cell_length_b 3.8521
_cell_length_c 17.1857
_cell_angle_alpha 90.00
_cell_angle_beta 90.00
_cell_angle_gamma 90.00
_symmetry_space_group_name_H-M 'I -4 2 d'
_symmetry_Int_Tables_number 122
_symmetry_space_group_name_Hall 'I -4 2bw'
loop_
_atom_site_label
_atom_site_type_symbol
_atom_site_fract_x
_atom_site_fract_y
_atom_site_fract_z
Co1 Co 0.0000 0.0000 0.0000
Os1 Os 0.0000 0.0000 0.5000
W1 W 0.2320 0.2500 0.1250